Below is GdErCoRu after structural relaxation, with properties calculated at the GGA-PBE level.

Cell lengths 4.767, 4.767, 4.767 Å; angles 60.00, 60.00, 60.00 degrees
Element x y z (fractional)
Gd 0.000 0.000 0.000
Er 0.500 0.500 0.500
Co 0.750 0.750 0.750
Ru 0.250 0.250 0.250

Electronic total energy in eV/atom: -8.993
Size of the total moment in μB/cell: 7.08
Energy of formation in eV per atom: -0.24

---

Below is GdErCoSn after structural relaxation, with properties calculated at the GGA-PBE level.

Cell lengths 5.078, 5.078, 5.078 Å; angles 60.00, 60.00, 60.00 degrees
Element x y z (fractional)
Gd 0.000 0.000 0.000
Er 0.500 0.500 0.500
Co 0.750 0.750 0.750
Sn 0.250 0.250 0.250

Electronic total energy in eV/atom: -7.760
Size of the total moment in μB/cell: 6.19
Energy of formation in eV per atom: -0.32